DFT (GGA-PBE) results for an optimized crystal structure of NiSnTeN2.

Properties
Total DFT energy (no corrections) (eV per atom): -4.6533
DOS(E_F) (states/eV/cell): 2.89
Formation energy without anion corrections (meV/atom): 1262
Calculated volume (Å³/atom): 17.123

Cell lengths 4.057, 4.057, 5.201 Å; angles 90.00, 90.00, 90.00 degrees
Space group P4/mmm (No. 123)
Asymmetric unit:
Ni  0.000  0.000  0.000 [1 per cell]
Sn  0.500  0.500  0.500 [1 per cell]
Te  0.000  0.000  0.500 [1 per cell]
N  0.000  0.500  0.000 [2 per cell]